Here is crystalline Pm4PrIr at its relaxed geometry from Alexandria via LeMat-Bulk. Energies are from PBE-GGA.

Cell and atoms, written as CIF:
```
data_Pm4PrIr
_cell_length_a 5.737
_cell_length_b 7.764
_cell_length_c 9.892
_cell_angle_alpha 90.00
_cell_angle_beta 106.86
_cell_angle_gamma 90.00
_space_group_name_H-M_alt 'P 1'
_space_group_IT_number 1
loop_
_space_group_symop_operation_xyz
'x,y,z'
loop_
_atom_site_label
_atom_site_fract_x
_atom_site_fract_y
_atom_site_fract_z
Pm1 0.500 0.030 0.999
Ir1 0.602 0.780 0.205
Pr1 0.117 0.281 0.235
Pm2 0.704 0.527 0.409
Pm3 0.886 0.281 0.772
Pm4 0.296 0.535 0.592
Pm5 0.500 0.530 0.001
Ir2 0.398 0.280 0.795
Pm6 0.114 0.781 0.228
Pm7 0.704 0.035 0.408
Pr2 0.883 0.781 0.765
Pm8 0.296 0.027 0.591
```

Values from the calculation:
The value obtained for the density of states at the Fermi level is 1.218 states/eV/atom. Its total energy is -5.598 eV per atom. As for the volume: 35.1 A^3/atom. As for the space group: Cmc2_1, No. 36. The density is 7.19 g/cm³.

---

Here is crystalline PmPr3Ir at its relaxed geometry from Alexandria via LeMat-Bulk. Energies are from PBE-GGA.

Cell and atoms, written as CIF:
```
data_PmPr3Ir
_cell_length_a 7.571
_cell_length_b 7.571
_cell_length_c 7.592
_cell_angle_alpha 108.74
_cell_angle_beta 111.96
_cell_angle_gamma 107.62
_space_group_name_H-M_alt 'P 1'
_space_group_IT_number 1
loop_
_space_group_symop_operation_xyz
'x,y,z'
loop_
_atom_site_label
_atom_site_fract_x
_atom_site_fract_y
_atom_site_fract_z
Pm1 0.704 0.052 0.755
Ir1 0.381 0.248 0.629
Pr1 0.708 0.448 0.156
Pr2 0.240 0.445 0.290
Pr3 0.155 0.949 0.710
Pr4 0.760 0.555 0.710
Pm2 0.296 0.948 0.245
Pr5 0.845 0.051 0.290
Pr6 0.292 0.552 0.844
Ir2 0.619 0.752 0.371
```

Values from the calculation:
The value obtained for the density of states at the Fermi level is 1.163 states/eV/atom. As for the volume: 33.5 A^3/atom. The value obtained for the energy above the most stable polymorph in this dataset is 0 meV/atom. As for the space group: C2/m, No. 12. The density is 7.53 g/cm³.

---

Here is crystalline Pm2PrIr2 at its relaxed geometry from Alexandria via LeMat-Bulk. Energies are from PBE-GGA.

Cell and atoms, written as CIF:
```
data_Pm2PrIr2
_cell_length_a 4.035
_cell_length_b 7.629
_cell_length_c 8.885
_cell_angle_alpha 90.00
_cell_angle_beta 103.13
_cell_angle_gamma 90.00
_space_group_name_H-M_alt 'P 1'
_space_group_IT_number 1
loop_
_space_group_symop_operation_xyz
'x,y,z'
loop_
_atom_site_label
_atom_site_fract_x
_atom_site_fract_y
_atom_site_fract_z
Pr1 0.624 0.916 0.247
Ir1 0.551 0.548 0.101
Ir2 0.804 0.631 0.608
Pr2 0.376 0.416 0.753
Pm1 0.032 0.248 0.063
Ir3 0.196 0.131 0.392
Pm2 0.187 0.524 0.373
Pm3 0.968 0.748 0.937
Ir4 0.449 0.048 0.899
Pm4 0.813 0.024 0.627
```

Values from the calculation:
The value obtained for the density of states at the Fermi level is 0.703 states/eV/atom. As for the volume: 26.6 A^3/atom. The value obtained for the energy above the most stable polymorph in this dataset is 99 meV/atom. As for the space group: Cmc2_1, No. 36. The density is 10.16 g/cm³.

---

Here is crystalline PmPr3Ir2 at its relaxed geometry from Alexandria via LeMat-Bulk. Energies are from PBE-GGA.

Cell and atoms, written as CIF:
```
data_PmPr3Ir2
_cell_length_a 4.414
_cell_length_b 8.688
_cell_length_c 10.793
_cell_angle_alpha 69.82
_cell_angle_beta 78.20
_cell_angle_gamma 75.28
_space_group_name_H-M_alt 'P 1'
_space_group_IT_number 1
loop_
_space_group_symop_operation_xyz
'x,y,z'
loop_
_atom_site_label
_atom_site_fract_x
_atom_site_fract_y
_atom_site_fract_z
Pr1 0.054 0.115 0.777
Ir1 0.135 0.574 0.155
Ir2 0.618 0.184 0.581
Pr2 0.946 0.885 0.223
Ir3 0.382 0.816 0.419
Pr3 0.789 0.829 0.594
Pr4 0.330 0.309 0.030
Ir4 0.865 0.426 0.845
Pm1 0.574 0.519 0.333
Pr5 0.211 0.171 0.406
Pm2 0.426 0.481 0.667
Pr6 0.670 0.691 0.970
```

Values from the calculation:
The value obtained for the density of states at the Fermi level is 0.894 states/eV/atom. Its total energy is -6.649 eV per atom. As for the volume: 31.1 A^3/atom. As for the space group: C2/m, No. 12. The density is 8.49 g/cm³.